Entry 1:
## MgTi2AlH (PBE)

Data for MgTi2AlH after structural relaxation.

Unit cell a=4.027 b=4.027 c=4.348 alpha=90.00 beta=90.00 gamma=90.00
Atoms (fractional coordinates):
Mg1 0.000 0.000 0.000
Ti1 0.000 0.500 0.500
Ti2 0.500 0.000 0.500
Al1 0.500 0.500 0.000
H1 0.000 0.000 0.500

=====

Entry 2:
## Mg2TiAlH (PBE)

Data for Mg2TiAlH after structural relaxation.

Unit cell a=4.215 b=4.215 c=4.186 alpha=90.00 beta=90.00 gamma=90.00
Atoms (fractional coordinates):
Mg1 0.000 0.500 0.000
Mg2 0.500 0.000 0.000
Ti1 0.000 0.000 0.500
Al1 0.500 0.500 0.500
H1 0.000 0.000 0.000

=====

Entry 3:
## Mg2AlTlH (PBE)

Data for Mg2AlTlH after structural relaxation.

Unit cell a=4.444 b=4.444 c=4.489 alpha=90.00 beta=90.00 gamma=90.00
Atoms (fractional coordinates):
Mg1 0.000 0.500 0.000
Mg2 0.500 0.000 0.000
Al1 0.000 0.000 0.500
Tl1 0.500 0.500 0.500
H1 0.000 0.000 0.000

=====

Entry 4:
## MgAlV2H (PBE)

Data for MgAlV2H after structural relaxation.

Unit cell a=3.826 b=3.826 c=4.283 alpha=90.00 beta=90.00 gamma=90.00
Atoms (fractional coordinates):
Mg1 0.000 0.000 0.000
Al1 0.500 0.500 0.000
V1 0.000 0.500 0.500
V2 0.500 0.000 0.500
H1 0.000 0.000 0.500

=====

Number 1: DOS at the Fermi energy 0.68 states/eV per atom, raw total energy -5.106 eV per atom. Number 2: DOS at the Fermi energy 0.34 states/eV per atom, raw total energy -3.722 eV per atom. Number 3: DOS at the Fermi energy 0.45 states/eV per atom, raw total energy -2.419 eV per atom. Number 4: DOS at the Fermi energy 0.58 states/eV per atom, raw total energy -5.381 eV per atom.